a | The following is a SCAN calculation of a crystal of In2RhBr relaxed with PBEsol, from the Alexandria database.

```
4
Lattice="5.0914 0.0000 0.0000 0.0000 5.0914 0.0000 0.0000 0.0000 3.1160" Properties=species:S:1:pos:R:3 pbc="T T T"
In 0.0000 2.5457 0.0000
In 2.5457 0.0000 0.0000
Rh 0.0000 0.0000 1.5580
Br 2.5457 2.5457 1.5580
```

## Properties
Crystal system: tetragonal
Space group: P4/mmm (123)
Total magnetic moment, μB per atom: 0.000

=====

b | The following is a SCAN calculation of a crystal of In2RhBr relaxed with PBEsol, from the Alexandria database.

```
4
Lattice="8.0687 -1.6768 0.0000 8.0687 1.6768 0.0000 -0.0054 0.0000 3.1876" Properties=species:S:1:pos:R:3 pbc="T T T"
In 0.0000 0.0000 0.0000
In 3.0623 0.0000 0.0080
Rh 9.5782 0.0000 1.5985
Br 13.4768 0.0000 0.0159
```

## Properties
Crystal system: monoclinic
Space group: Cm (8)
Total magnetic moment, μB per atom: 0.000

=====

c | The following is a SCAN calculation of a crystal of In2RhBr relaxed with PBEsol, from the Alexandria database.

```
4
Lattice="0.0000 3.4833 3.4833 3.4833 0.0000 3.4833 3.4833 3.4833 0.0000" Properties=species:S:1:pos:R:3 pbc="T T T"
In 1.7417 1.7417 1.7417
In 5.2250 5.2250 5.2250
Rh 0.0000 0.0000 0.0000
Br 3.4833 3.4833 3.4833
```

## Properties
Crystal system: cubic
Space group: Fm-3m (225)
Total magnetic moment, μB per atom: 0.000

=====

d | The following is a SCAN calculation of a crystal of In2RhBr relaxed with PBEsol, from the Alexandria database.

```
4
Lattice="3.2793 0.0000 0.0000 0.0000 4.9810 0.0000 0.0000 0.0000 4.9925" Properties=species:S:1:pos:R:3 pbc="T T T"
In 0.0000 0.0000 0.0000
In 1.6396 2.4905 0.0000
Rh 0.0000 2.4905 2.4962
Br 1.6396 0.0000 2.4962
```

## Properties
Crystal system: orthorhombic
Space group: Pmmm (47)
Total magnetic moment, μB per atom: 0.000

=====

Relative energies, unit meV per atom: a 366; b 0; c 759; d 692

=====

a | The following is a SCAN calculation of a crystal of InRhBr relaxed with PBEsol, from the Alexandria database.

```
3
Lattice="4.4843 0.0000 0.0000 -2.2422 3.8835 0.0000 0.0000 0.0000 3.2687" Properties=species:S:1:pos:R:3 pbc="T T T"
In 0.0000 0.0000 0.0000
Rh 0.0000 2.5890 1.6288
Br 2.2422 1.2945 1.6339
```

## Properties
Crystal system: trigonal
Space group: P3m1 (156)
Total magnetic moment, μB per atom: 0.000

=====

b | The following is a SCAN calculation of a crystal of InRhBr relaxed with PBEsol, from the Alexandria database.

```
3
Lattice="0.0000 3.1587 3.1587 3.1587 0.0000 3.1587 3.1587 3.1587 0.0000" Properties=species:S:1:pos:R:3 pbc="T T T"
In 0.0000 0.0000 0.0000
Rh 4.7381 4.7381 4.7381
Br 3.1587 3.1587 3.1587
```

## Properties
Crystal system: cubic
Space group: F-43m (216)
Total magnetic moment, μB per atom: 0.000

=====

Relative energies, unit meV per atom: a 149; b 0

=====

a | The following is a SCAN calculation of a crystal of ScIn2Br relaxed with PBEsol, from the Alexandria database.

```
4
Lattice="-1.6374 2.7987 5.3135 1.6374 -2.7987 5.3135 1.6374 2.7987 -5.3135" Properties=species:S:1:pos:R:3 pbc="T T T"
Sc 0.0000 0.0000 0.0000
In 0.0000 0.0000 5.1791
In 0.0000 2.7987 2.7355
Br 1.6374 0.0000 2.0736
```

## Properties
Crystal system: orthorhombic
Space group: Imm2 (44)
Total magnetic moment, μB per atom: 0.000

=====

b | The following is a SCAN calculation of a crystal of ScIn2Br relaxed with PBEsol, from the Alexandria database.

```
4
Lattice="-1.5983 2.2776 6.8656 1.5983 -2.2776 6.8656 1.5983 2.2776 -6.8656" Properties=species:S:1:pos:R:3 pbc="T T T"
Sc 0.0000 0.0000 0.0000
In 1.5983 0.0000 2.7194
In 0.0000 2.2776 4.1462
Br 0.0000 0.0000 6.8656
```

## Properties
Crystal system: orthorhombic
Space group: Immm (71)
Total magnetic moment, μB per atom: 0.072

=====

Relative energies, unit meV per atom: a 0; b 18

=====

a | The following is a SCAN calculation of a crystal of InSe2Br relaxed with PBEsol, from the Alexandria database.

```
4
Lattice="-1.9759 1.9759 6.3445 1.9759 -1.9759 6.3445 1.9759 1.9759 -6.3445" Properties=species:S:1:pos:R:3 pbc="T T T"
In 0.0000 0.0000 0.0000
Se 1.9759 0.0000 3.1722
Se 0.0000 1.9759 3.1722
Br 0.0000 0.0000 6.3445
```

## Properties
Crystal system: tetragonal
Space group: I4/mmm (139)
Total magnetic moment, μB per atom: 0.000

=====

b | The following is a SCAN calculation of a crystal of InSe2Br relaxed with PBEsol, from the Alexandria database.

```
4
Lattice="5.0987 0.0000 0.0000 0.0000 3.9303 0.0000 -1.5749 0.0000 5.3048" Properties=species:S:1:pos:R:3 pbc="T T T"
In 0.0000 0.0000 0.0000
Se 1.7315 1.9652 0.8529
Se 1.7923 1.9652 4.4518
Br -0.7874 0.0000 2.6524
```

## Properties
Crystal system: monoclinic
Space group: P2/m (10)
Total magnetic moment, μB per atom: 0.000

=====

Relative energies, unit meV per atom: a 456; b 0

=====

a | The following is a SCAN calculation of a crystal of InSe2Br relaxed with PBEsol, from the Alexandria database.

```
4
Lattice="5.0174 0.0000 0.0000 0.0000 5.0174 0.0000 0.0000 0.0000 3.4963" Properties=species:S:1:pos:R:3 pbc="T T T"
In 0.0000 0.0000 0.0000
Se 0.0000 2.5087 1.7482
Se 2.5087 0.0000 1.7482
Br 2.5087 2.5087 0.0000
```

## Properties
Crystal system: tetragonal
Space group: P4/mmm (123)
Total magnetic moment, μB per atom: 0.000

=====

b | The following is a SCAN calculation of a crystal of InSe2Br relaxed with PBEsol, from the Alexandria database.

```
4
Lattice="6.1895 -1.8744 0.0000 6.1895 1.8744 0.0000 -0.8574 0.0000 4.7634" Properties=species:S:1:pos:R:3 pbc="T T T"
In 0.0000 0.0000 0.0000
Se 2.7401 0.0000 4.1663
Se 8.7816 0.0000 0.5971
Br 5.7608 0.0000 2.3817
```

## Properties
Crystal system: monoclinic
Space group: C2/m (12)
Total magnetic moment, μB per atom: 0.000

=====

c | The following is a SCAN calculation of a crystal of InSe2Br relaxed with PBEsol, from the Alexandria database.

```
4
Lattice="2.0080 1.1593 6.9888 -2.0080 1.1593 6.9888 0.0000 -2.3187 6.9888" Properties=species:S:1:pos:R:3 pbc="T T T"
In 0.0000 0.0000 0.0000
Se 0.0000 0.0000 5.5129
Se 0.0000 0.0000 15.4535
Br 0.0000 0.0000 10.4832
```

## Properties
Crystal system: trigonal
Space group: R-3m (166)
Total magnetic moment, μB per atom: 0.000

=====

Relative energies, unit meV per atom: a 508; b 0; c 28

=====

a | The following is a SCAN calculation of a crystal of InSeBr2 relaxed with PBEsol, from the Alexandria database.

```
8
Lattice="-4.8828 4.8828 2.6512 4.8828 -4.8828 2.6512 4.8828 4.8828 -2.6512" Properties=species:S:1:pos:R:3 pbc="T T T"
In 0.0000 0.0000 0.0000
In 0.0000 4.8828 1.3256
Se 4.8828 0.0000 1.3256
Se 0.0000 0.0000 2.6512
Br -1.1086 2.4414 0.6628
Br 2.4414 3.7742 1.9884
Br 1.1086 7.3242 0.6628
Br -2.4414 5.9913 1.9884
```

## Properties
Crystal system: tetragonal
Space group: I-42d (122)
Total magnetic moment, μB per atom: 0.269

=====

b | The following is a SCAN calculation of a crystal of InSeBr2 relaxed with PBEsol, from the Alexandria database.

```
4
Lattice="3.7541 0.0000 0.0000 0.0000 4.3699 0.0000 0.0000 0.0000 6.1513" Properties=species:S:1:pos:R:3 pbc="T T T"
In 0.0000 0.0000 0.0000
Se 1.8770 0.0000 3.0757
Br 0.0000 2.1849 3.0757
Br 1.8770 2.1849 0.0000
```

## Properties
Crystal system: orthorhombic
Space group: Pmmm (47)
Total magnetic moment, μB per atom: 0.000

=====

Relative energies, unit meV per atom: a 0; b 133

=====

a | The following is a SCAN calculation of a crystal of InSeBr2 relaxed with PBEsol, from the Alexandria database.

```
4
Lattice="3.4119 -4.2810 0.0000 3.4119 4.2810 0.0000 -3.3998 0.0000 3.8114" Properties=species:S:1:pos:R:3 pbc="T T T"
In 0.0000 0.0000 0.0000
Se 3.4119 0.0000 0.0000
Br 0.0061 2.1405 1.9057
Br 0.0061 -2.1405 1.9057
```

## Properties
Crystal system: monoclinic
Space group: C2/m (12)
Total magnetic moment, μB per atom: 0.000

=====

b | The following is a SCAN calculation of a crystal of InSeBr2 relaxed with PBEsol, from the Alexandria database.

```
4
Lattice="0.0000 3.6760 3.6760 3.6760 0.0000 3.6760 3.6760 3.6760 0.0000" Properties=species:S:1:pos:R:3 pbc="T T T"
In 0.0000 0.0000 0.0000
Se 3.6760 3.6760 3.6760
Br 1.8380 1.8380 1.8380
Br 5.5140 5.5140 5.5140
```

## Properties
Crystal system: cubic
Space group: Fm-3m (225)
Total magnetic moment, μB per atom: 0.602

=====

c | The following is a SCAN calculation of a crystal of InSeBr2 relaxed with PBEsol, from the Alexandria database.

```
4
Lattice="4.8903 0.0000 0.0000 0.0000 5.4994 0.0000 -2.3939 0.0000 4.6381" Properties=species:S:1:pos:R:3 pbc="T T T"
In 0.0000 0.0000 0.0000
Se 2.5096 2.7497 4.2755
Br 0.0677 2.7497 3.5466
Br 2.4526 0.0000 1.5383
```

## Properties
Crystal system: monoclinic
Space group: Pm (6)
Total magnetic moment, μB per atom: 0.000

=====

Relative energies, unit meV per atom: a 246; b 477; c 0

=====

a | The following is a SCAN calculation of a crystal of InSiBr2 relaxed with PBEsol, from the Alexandria database.

```
4
Lattice="-1.8406 2.4644 6.2026 1.8406 -2.4644 6.2026 1.8406 2.4644 -6.2026" Properties=species:S:1:pos:R:3 pbc="T T T"
In 0.0000 0.0000 0.0000
Si 0.0000 0.0000 6.2026
Br 1.8406 0.0000 4.1778
Br 0.0000 2.4644 2.0248
```

## Properties
Crystal system: orthorhombic
Space group: Immm (71)
Total magnetic moment, μB per atom: 0.000

=====

b | The following is a SCAN calculation of a crystal of InSiBr2 relaxed with PBEsol, from the Alexandria database.

```
4
Lattice="0.0000 3.6295 3.6295 3.6295 0.0000 3.6295 3.6295 3.6295 0.0000" Properties=species:S:1:pos:R:3 pbc="T T T"
In 0.0000 0.0000 0.0000
Si 3.6295 3.6295 3.6295
Br 1.8148 1.8148 1.8148
Br 5.4443 5.4443 5.4443
```

## Properties
Crystal system: cubic
Space group: Fm-3m (225)
Total magnetic moment, μB per atom: 0.000

=====

c | The following is a SCAN calculation of a crystal of InSiBr2 relaxed with PBEsol, from the Alexandria database.

```
4
Lattice="-1.7930 2.1094 7.0855 1.7930 -2.1094 7.0855 1.7930 2.1094 -7.0855" Properties=species:S:1:pos:R:3 pbc="T T T"
In 0.0000 0.0000 0.0000
Si 1.7930 0.0000 2.2598
Br 0.0000 0.0000 5.7951
Br 0.0000 2.1094 2.6493
```

## Properties
Crystal system: orthorhombic
Space group: Imm2 (44)
Total magnetic moment, μB per atom: 0.000

=====

Relative energies, unit meV per atom: a 0; b 318; c 60